Computed, not measured: Pm8NdIr2 after structural relaxation at the PBE-GGA level of DFT.

Cell and atoms, written as CIF:
```
data_Pm8NdIr2
_chemical_formula_sum 'Pm8 Nd1 Ir2'
_cell_length_a 8.2095
_cell_length_b 8.2095
_cell_length_c 5.7301
_cell_angle_alpha 95.98
_cell_angle_beta 95.98
_cell_angle_gamma 114.34
_space_group_name_H-M_alt 'P 1'
_space_group_IT_number 1
loop_
_space_group_symop_operation_xyz
'x,y,z'
loop_
_atom_site_label
_atom_site_fract_x
_atom_site_fract_y
_atom_site_fract_z
_atom_site_occupancy
Pm1 0.1003 0.1003 0.7949 1
Pm2 0.1681 0.4271 0.4297 1
Pm3 0.2405 0.7595 0.0000 1
Pm4 0.4271 0.1681 0.4297 1
Pm5 0.5729 0.8319 0.5703 1
Pm6 0.7595 0.2405 0.0000 1
Pm7 0.8319 0.5729 0.5703 1
Pm8 0.8997 0.8997 0.2051 1
Nd1 0.5000 0.5000 0.0000 1
Ir1 0.1949 0.8051 0.5000 1
Ir2 0.8051 0.1949 0.5000 1
```

N(E_F) in states/eV/cell: 15.45
Crystal system: monoclinic
Calculated total energy in Ry/atom: -0.4206